The following is a GGA-PBEsol calculation of a relaxed structure of SbPdSCl2, from the Alexandria database.

abc: 5.0994 5.0994 5.0692
angles: 90.00 90.00 90.00
Closest atoms and distances in Å follow each position.
Atoms (fractional coordinates):
Sb1 0.0000 0.0000 0.0000  2 S 2.53, 4 Cl 2.55
Pd1 0.5000 0.5000 0.5000  8 Cl 3.60, 4 S 3.61
S1 0.0000 0.0000 0.5000  2 Sb 2.53
Cl1 0.0000 0.5000 0.0000  2 Sb 2.55
Cl2 0.5000 0.0000 0.0000  2 Sb 2.55

Output
Symmetry: P4/mmm
Raw total energy (eV/cell): -17.3